Computed, not measured: a relaxed PmHoMgBe crystal at the GGA-PBE level of DFT.

Unit cell a=5.1356 b=5.1356 c=5.1356 alpha=60.00 beta=60.00 gamma=60.00
With the nearest neighbours (Å) after each atom.
Positions (direct):
Mg 0.5000 0.5000 0.5000  4 Pm 3.14, 4 Ho 3.14
Pm 0.7500 0.7500 0.7500  4 Be 3.14, 4 Mg 3.14
Be 0.0000 0.0000 0.0000  4 Pm 3.14, 4 Ho 3.14
Ho 0.2500 0.2500 0.2500  4 Mg 3.14, 4 Be 3.14

Results
* spin magnetization: 0.00 μB/f.u.
* VASP energy: -14.249 eV for the cell shown

***

Computed, not measured: a relaxed ReAg2RuI crystal at the GGA-PBE level of DFT.

Unit cell a=5.1801 b=4.9013 c=5.1801 alpha=90.00 beta=90.00 gamma=90.00
With the nearest neighbours (Å) after each atom.
Positions (direct):
Ag 0.5000 0.0000 0.0000  2 Re 2.59
Re 0.0000 0.0000 0.0000  2 I 2.45, 4 Ag 2.59
Ru 0.5000 0.5000 0.5000  8 Ag 3.57, 4 I 3.66
Ag 0.0000 0.0000 0.5000  2 Re 2.59
I 0.0000 0.5000 0.0000  2 Re 2.45

Results
* ΔE_f (raw): 1.994 eV per atom
* spin magnetization: 2.67 μB/f.u.

***

Computed, not measured: a relaxed SrScTeI2 crystal at the GGA-PBE level of DFT.

Unit cell a=5.6811 b=5.6811 c=5.7618 alpha=90.00 beta=90.00 gamma=90.00
With the nearest neighbours (Å) after each atom.
Positions (direct):
I 0.5000 0.0000 0.0000  2 Sc 2.84
Sr 0.5000 0.5000 0.5000  4 Te 4.02, 8 I 4.05
Te 0.0000 0.0000 0.5000  2 Sc 2.88
Sc 0.0000 0.0000 0.0000  4 I 2.84, 2 Te 2.88
I 0.0000 0.5000 0.0000  2 Sc 2.84

Results
* ΔE_f (raw): -1.030 eV per atom
* spin magnetization: 0.00 μB/f.u.